## NbTlS3 (PBE)

Data for a relaxed NbTlS3 crystal.

Calculated total energy   -0.4157 Ry/atom
Raw formation energy   -0.692 eV/atom
Space-group type   Amm2, No. 38
E above lowest polymorph   0 meV per atom

Unit cell a=3.483 b=8.656 c=8.656 alpha=72.08 beta=90.00 gamma=89.99
Fractional positions:
S (0.863, 0.026, 0.686)
S (0.863, 0.355, 0.815)
S (0.363, 0.380, 0.437)
Tl (0.863, 0.139, 0.302)
Nb (0.363, 0.227, 0.696)
S (0.863, 0.755, 0.414)
S (0.864, 0.625, 0.086)
Nb (0.364, 0.744, 0.214)
Tl (0.363, 0.686, 0.754)
S (0.363, 0.004, 0.061)

---

## Tb4Ho8Pu (PBE)

Data for a relaxed Tb4Ho8Pu crystal.

Calculated total energy   -0.3545 Ry/atom
Space-group type   R-3m, No. 166
ΔE_f   0.522 eV per atom

Unit cell a=7.696 b=7.696 c=7.696 alpha=90.12 beta=90.12 gamma=90.12
Each line ends with the local moment (μB).
Fractional positions:
Ho (0.756, 0.756, 0.245)  -0.05
Ho (0.756, 0.245, 0.756)  -0.05
Ho (0.244, 0.244, 0.755)  -0.05
Ho (0.244, 0.755, 0.244)  -0.05
Ho (0.245, 0.756, 0.756)  -0.05
Ho (0.755, 0.244, 0.244)  -0.05
Tb (0.000, 0.500, 0.500)  -0.12
Tb (0.000, 0.000, 0.000)  0.25
Pu (0.500, 0.500, 0.500)  -5.47
Ho (0.244, 0.244, 0.244)  -0.05
Tb (0.500, 0.000, 0.500)  -0.12
Tb (0.500, 0.500, 0.000)  -0.12
Ho (0.756, 0.756, 0.756)  -0.05

---

## Mg2ScAg (PBE)

Data for a relaxed Mg2ScAg crystal.

Calculated total energy   -0.2352 Ry/atom
Space-group type   C2/m, No. 12
ΔE_f   -0.107 eV per atom

Unit cell a=5.993 b=5.993 c=5.096 alpha=64.54 beta=64.54 gamma=31.35
Fractional positions:
Mg (0.473, 0.473, 0.527)
Ag (0.750, 0.750, 0.750)
Sc (0.250, 0.250, 0.250)
Mg (0.027, 0.027, 0.973)